[1]
# CsHoN PBE relaxed
data_CsHoN
_chemical_formula_sum 'Cs2 Ho2 N2'
_cell_length_a 11.3513
_cell_length_b 11.3513
_cell_length_c 6.3898
_cell_angle_alpha 93.18
_cell_angle_beta 93.18
_cell_angle_gamma 18.75
_space_group_name_H-M_alt 'P 1'
_space_group_IT_number 1
loop_
_space_group_symop_operation_xyz
'x,y,z'
loop_
_atom_site_label
_atom_site_fract_x
_atom_site_fract_y
_atom_site_fract_z
_atom_site_occupancy
Cs1 0.1026 0.1026 0.2732 1
Cs2 0.8974 0.8974 0.7268 1
Ho1 0.2260 0.2260 0.6842 1
Ho2 0.7740 0.7740 0.3158 1
N1 0.3031 0.3031 0.4886 1
N2 0.6969 0.6969 0.5114 1
# Fermi-level density of states   1.28 states/eV/f.u.
# Symmetry   C2/m (12)
# E_form (uncorrected)   -0.595 eV per atom

***

[2]
# Cs2HoRe2N6 PBE relaxed
data_Cs2HoRe2N6
_chemical_formula_sum 'Cs2 Ho1 Re2 N6'
_cell_length_a 7.3289
_cell_length_b 7.3289
_cell_length_c 7.3289
_cell_angle_alpha 52.19
_cell_angle_beta 52.19
_cell_angle_gamma 52.19
_space_group_name_H-M_alt 'P 1'
_space_group_IT_number 1
loop_
_space_group_symop_operation_xyz
'x,y,z'
loop_
_atom_site_label
_atom_site_fract_x
_atom_site_fract_y
_atom_site_fract_z
_atom_site_occupancy
Cs1 0.2224 0.2224 0.2224 1
Cs2 0.7776 0.7776 0.7776 1
Ho1 0.0000 0.0000 0.0000 1
Re1 0.4276 0.4276 0.4276 1
Re2 0.5724 0.5724 0.5724 1
N1 0.2482 0.2482 0.7135 1
N2 0.2482 0.7135 0.2482 1
N3 0.2865 0.7518 0.7518 1
N4 0.7135 0.2482 0.2482 1
N5 0.7518 0.2865 0.7518 1
N6 0.7518 0.7518 0.2865 1
# Fermi-level density of states   3.68 states/eV/f.u.
# Symmetry   R-3m (166)
# E_form (uncorrected)   -0.355 eV per atom

***

no.,total moment (μB per atom)
1,0.000
2,0.088